Material: RbSrNiF6
Method: DFT, GGA+U
State: relaxed Values from VASP.

The structure in Quantum ESPRESSO input format:
```
&SYSTEM
  ibrav = 0, nat = 18, ntyp = 4
/
ATOMIC_SPECIES
Rb 85.47 Rb.upf
Ni 58.69 Ni.upf
Sr 87.62 Sr.upf
F 19.00 F.upf
CELL_PARAMETERS angstrom
7.879 0.000 0.000
0.000 7.667 0.000
-3.939 -3.833 4.957
ATOMIC_POSITIONS angstrom
Rb 0.000 1.917 1.536
Rb 3.939 1.917 3.422
Ni 3.939 0.000 0.000
Ni 3.939 3.833 0.000
Sr -1.970 -1.917 2.479
Sr 1.970 -1.917 2.479
F 5.238 0.288 1.264
F 0.000 -1.917 4.263
F 1.299 0.288 3.693
F 5.238 3.545 1.264
F 2.641 3.545 1.264
F 3.939 5.750 0.694
F 1.299 3.545 3.693
F -1.299 3.545 3.693
F 3.939 -1.917 3.770
F -1.299 0.288 3.693
F 0.000 5.750 1.188
F 2.641 0.288 1.264
```

As for the calculated total energy: -4.5727 eV per atom. The density is 3.8 g/cm³. The value obtained for the size of the total moment is 0.099 μB/atom.